No. 1
Density functional theory data (GGA-PBE) for a relaxed structure of CeSm4Te5.

Properties
For the energy above the most stable polymorph in this dataset, the calculation gives 3 meV per atom.

a = 4.4504 Å, b = 4.4504 Å, c = 31.5201 Å
α = 90.00°, β = 90.00°, γ = 90.00°
Space group I4/mmm (No. 139)
Inequivalent atoms, fractional coordinates:
Ce: 0.0000 0.0000 0.0000 [2 per cell]
Sm: 0.0000 0.0000 0.1974 [4 per cell]
Sm: 0.0000 0.0000 0.3988 [4 per cell]
Te: 0.0000 0.0000 0.0995 [4 per cell]
Te: 0.0000 0.0000 0.2985 [4 per cell]
Te: 0.0000 0.0000 0.5000 [2 per cell]



No. 2
Density functional theory data (GGA-PBE) for a relaxed structure of Ce2Sm3Te6.

a = 7.6853 Å, b = 13.3114 Å, c = 7.7276 Å
α = 90.00°, β = 109.51°, γ = 90.00°
Space group C2/m (No. 12)
Inequivalent atoms, fractional coordinates:
Ce: 0.0000 0.1654 0.0000 [4 per cell]
Sm: 0.0000 0.0000 0.5000 [2 per cell]
Sm: 0.0000 0.3314 0.5000 [4 per cell]
Te: 0.2415 0.5000 0.7513 [4 per cell]
Te: 0.2442 0.3377 0.2470 [8 per cell]



No. 3
Density functional theory data (GGA-PBE) for a relaxed structure of Ce2Sm3ThTe6.

a = 19.5336 Å, b = 4.4359 Å, c = 8.9830 Å
α = 90.00°, β = 104.33°, γ = 90.00°
Space group C2/m (No. 12)
Inequivalent atoms, fractional coordinates:
Ce: 0.1657 0.0000 0.3318 [4 per cell]
Sm: 0.0000 0.5000 0.5000 [2 per cell]
Sm: 0.1657 0.0000 0.8341 [4 per cell]
Th: 0.0000 0.5000 0.0000 [2 per cell]
Te: 0.0011 0.0000 0.7468 [4 per cell]
Te: 0.1664 0.5000 0.5857 [4 per cell]
Te: 0.1682 0.5000 0.0816 [4 per cell]



What did we get for density of states at the Fermi level? Answer: 1.1092; 1.6284; 1.5653 states/eV/atom, in the order shown.
What did we get for E_form (uncorrected)? Answer: -1.382; -1.427; -1.316 eV per atom, in the order shown.